A plane-wave DFT calculation with GGA-PBE was carried out for a relaxed PrScW2C3 crystal.

Size of the total moment (μB per atom): 0.0002
Total DFT energy (no corrections) (eV per atom): -9.470
ρ (g/cm³): 9.4

Cell lengths 11.869, 3.319, 5.710 Å; angles 90.00, 112.88, 90.00 degrees
Atoms (fractional coordinates):
Pr (0.000, 0.000, 0.000)
Pr (0.500, 0.500, 0.000)
Sc (0.221, 0.000, 0.646)
Sc (0.721, 0.500, 0.646)
W (0.258, 0.500, 0.125)
W (0.444, 0.000, 0.478)
W (0.758, 0.000, 0.125)
W (0.944, 0.500, 0.478)
C (0.108, 0.500, 0.780)
C (0.347, 0.500, 0.538)
C (0.349, 0.000, 0.070)
C (0.608, 0.000, 0.780)
C (0.847, 0.000, 0.538)
C (0.849, 0.500, 0.070)


A plane-wave DFT calculation with GGA-PBE was carried out for a relaxed Pr5CSe4 crystal.

Size of the total moment (μB per atom): 0.0003
Total DFT energy (no corrections) (eV per atom): -6.217
ρ (g/cm³): 6.6

Cell lengths 7.267, 7.267, 7.267 Å; angles 99.59, 99.59, 131.81 degrees
Atoms (fractional coordinates):
Pr (0.000, 0.000, 0.000)
Pr (0.235, 0.409, 0.645)
Pr (0.409, 0.765, 0.174)
Pr (0.591, 0.235, 0.826)
Pr (0.765, 0.591, 0.355)
C (0.500, 0.500, 0.000)
Se (0.093, 0.695, 0.788)
Se (0.305, 0.093, 0.397)
Se (0.695, 0.907, 0.603)
Se (0.907, 0.305, 0.212)